Density functional theory data (PBE) for LiPd2RhC after structural relaxation.

```
LiPd2RhC
1.0
4.147 0.000 0.000
0.000 4.147 0.000
0.000 0.000 3.987
C Rh Pd Li
1 1 2 1
Cartesian
0.000 0.000 0.000
0.000 0.000 1.993
0.000 2.073 0.000
2.073 0.000 0.000
2.073 2.073 1.993
```

## Properties
The calculation puts the magnetization at 0.00 Bohr magnetons per cell. Its space group is P4/mmm (123). The formation energy is -0.08 eV/atom. The value obtained for the total energy is -29.26 eV/cell.